Record 1
An optimized crystal structure of K5Ta. Source: Alexandria via LeMat-Bulk, functional PBE-GGA.

Properties
D(E_F)   32.60 states/eV/cell

a = 10.822 Å, b = 10.822 Å, c = 10.822 Å
α = 90.00°, β = 90.00°, γ = 90.00°
Space group F-43m (No. 216)
Asymmetric unit:
K (0.000, 0.000, 0.000) [4 per cell]
K (0.123, 0.123, 0.623) [16 per cell]
Ta (0.250, 0.250, 0.250) [4 per cell]



Record 2
An optimized crystal structure of KTa. Source: Alexandria via LeMat-Bulk, functional PBE-GGA.

Properties
D(E_F)   14.85 states/eV/cell
Offset from the most stable computed form   640 meV per atom

a = 15.674 Å, b = 15.674 Å, c = 2.955 Å
α = 90.00°, β = 90.00°, γ = 90.00°
Space group I4/m (No. 87)
Asymmetric unit:
K (0.038, 0.203, 0.000) [8 per cell]
Ta (0.185, 0.738, 0.500) [8 per cell]



Record 3
An optimized crystal structure of KTa. Source: Alexandria via LeMat-Bulk, functional PBE-GGA.

Properties
D(E_F)   37.71 states/eV/cell
Offset from the most stable computed form   2713 meV per atom

a = 8.265 Å, b = 8.265 Å, c = 8.265 Å
α = 90.00°, β = 90.00°, γ = 90.00°
Space group F-43m (No. 216)
Asymmetric unit:
K (0.000, 0.000, 0.000) [4 per cell]
Ta (0.250, 0.250, 0.750) [4 per cell]



Record 4
An optimized crystal structure of KTa. Source: Alexandria via LeMat-Bulk, functional PBE-GGA.

Properties
D(E_F)   5.91 states/eV/cell
Offset from the most stable computed form   1417 meV per atom

a = 6.931 Å, b = 6.931 Å, c = 7.137 Å
α = 90.00°, β = 90.00°, γ = 90.00°
Space group P4_2/mnm (No. 136)
Asymmetric unit:
K (0.162, 0.162, 0.000) [4 per cell]
Ta (0.115, 0.115, 0.500) [4 per cell]



Record 5
An optimized crystal structure of KTa. Source: Alexandria via LeMat-Bulk, functional PBE-GGA.

Properties
D(E_F)   3.35 states/eV/cell
Offset from the most stable computed form   100 meV per atom

a = 3.549 Å, b = 3.548 Å, c = 10.747 Å
α = 90.00°, β = 90.67°, γ = 90.00°
Space group P2_1/m (No. 11)
Asymmetric unit:
K (0.238, 0.250, 0.196) [2 per cell]
Ta (0.252, 0.250, 0.547) [2 per cell]



Record 6
An optimized crystal structure of K3Ta. Source: Alexandria via LeMat-Bulk, functional PBE-GGA.

Properties
D(E_F)   13.55 states/eV/cell
Offset from the most stable computed form   613 meV per atom

a = 8.1405 Å, b = 8.1405 Å, c = 6.4612 Å
α = 90.00°, β = 90.00°, γ = 120.00°
Space group P6_3/mmc (No. 194)
Asymmetric unit:
K (0.1777, 0.3554, 0.2500) [6 per cell]
Ta (0.3333, 0.6667, 0.7500) [2 per cell]



Record 7
An optimized crystal structure of KTa5. Source: Alexandria via LeMat-Bulk, functional PBE-GGA.

Properties
D(E_F)   14.16 states/eV/cell
Offset from the most stable computed form   0 meV per atom

a = 4.896 Å, b = 2.747 Å, c = 20.466 Å
α = 90.00°, β = 90.00°, γ = 90.00°
Space group Amm2 (No. 38)
Asymmetric unit:
K (0.000, 0.000, 0.000) [2 per cell]
Ta (0.000, 0.000, 0.321) [2 per cell]
Ta (0.000, 0.000, 0.683) [2 per cell]
Ta (0.500, 0.000, 0.244) [2 per cell]
Ta (0.500, 0.000, 0.620) [2 per cell]
Ta (0.500, 0.000, 0.874) [2 per cell]



Record 8
An optimized crystal structure of KTa3. Source: Alexandria via LeMat-Bulk, functional PBE-GGA.

Properties
D(E_F)   5.84 states/eV/cell
Offset from the most stable computed form   127 meV per atom

a = 2.889 Å, b = 4.505 Å, c = 8.082 Å
α = 90.00°, β = 98.52°, γ = 90.00°
Space group P2/m (No. 10)
Asymmetric unit:
K (0.000, 0.000, 0.000) [1 per cell]
Ta (0.000, 0.000, 0.500) [1 per cell]
Ta (0.440, 0.500, 0.655) [2 per cell]



Record 9
An optimized crystal structure of K7Ta. Source: Alexandria via LeMat-Bulk, functional PBE-GGA.

Properties
D(E_F)   35.14 states/eV/cell

a = 12.131 Å, b = 12.131 Å, c = 12.131 Å
α = 90.00°, β = 90.00°, γ = 90.00°
Space group Fm-3m (No. 225)
Asymmetric unit:
K (0.000, 0.000, 0.000) [4 per cell]
K (0.000, 0.250, 0.250) [24 per cell]
Ta (0.000, 0.000, 0.500) [4 per cell]



Record 10
An optimized crystal structure of KTa. Source: Alexandria via LeMat-Bulk, functional PBE-GGA.

Properties
D(E_F)   2.95 states/eV/cell
Offset from the most stable computed form   1892 meV per atom

a = 3.817 Å, b = 3.817 Å, c = 3.817 Å
α = 90.00°, β = 90.00°, γ = 90.00°
Space group Pm-3m (No. 221)
Asymmetric unit:
K (0.000, 0.000, 0.000) [1 per cell]
Ta (0.500, 0.500, 0.500) [1 per cell]



Record 11
An optimized crystal structure of K3Ta. Source: Alexandria via LeMat-Bulk, functional PBE-GGA.

Properties
D(E_F)   7.86 states/eV/cell
Offset from the most stable computed form   483 meV per atom

a = 13.135 Å, b = 3.097 Å, c = 7.652 Å
α = 90.00°, β = 92.35°, γ = 90.00°
Space group C2/m (No. 12)
Asymmetric unit:
K (0.000, 0.000, 0.000) [2 per cell]
K (0.244, 0.000, 0.720) [4 per cell]
Ta (0.000, 0.500, 0.500) [2 per cell]



Record 12
An optimized crystal structure of KTa. Source: Alexandria via LeMat-Bulk, functional PBE-GGA.

Properties
D(E_F)   2.51 states/eV/cell
Offset from the most stable computed form   764 meV per atom

a = 2.837 Å, b = 2.837 Å, c = 6.498 Å
α = 90.00°, β = 90.00°, γ = 90.00°
Space group P4/mmm (No. 123)
Asymmetric unit:
K (0.000, 0.000, 0.000) [1 per cell]
Ta (0.500, 0.500, 0.500) [1 per cell]



Number 1: calculated formation energy 1.07 eV per atom, volume 316.8 Å³/f.u.. Number 2: calculated formation energy 1.38 eV per atom, volume 90.8 Å³/f.u.. Number 3: calculated formation energy 3.46 eV per atom, volume 141.1 Å³/f.u.. Number 4: calculated formation energy 2.16 eV per atom, volume 85.7 Å³/f.u.. Number 5: calculated formation energy 0.84 eV per atom, volume 67.7 Å³/f.u.. Number 6: calculated formation energy 1.39 eV per atom, volume 185.4 Å³/f.u.. Number 7: calculated formation energy 0.73 eV per atom, volume 137.6 Å³/f.u.. Number 8: calculated formation energy 0.85 eV per atom, volume 104.0 Å³/f.u.. Number 9: calculated formation energy 0.74 eV per atom, volume 446.3 Å³/f.u.. Number 10: calculated formation energy 2.63 eV per atom, volume 55.6 Å³/f.u.. Number 11: calculated formation energy 1.26 eV per atom, volume 155.5 Å³/f.u.. Number 12: calculated formation energy 1.51 eV per atom, volume 52.3 Å³/f.u..